Record 1
InSn | GGA-PBE | relaxed

Output
**N(E_F)**: 0.91 states/eV/f.u.
**Energy of formation from the pure elements**: 0.1 eV/f.u.
**Total magnetization**: 0.000 μB/atom

The structure in CIF format:
```
data_InSn
_chemical_formula_sum 'In2 Sn2'
_space_group_name_H-M_alt 'P 1'
_space_group_IT_number 1
_cell_length_a 3.216
_cell_length_b 6.192
_cell_length_c 5.567
_cell_angle_alpha 90.00
_cell_angle_beta 90.00
_cell_angle_gamma 90.00
loop_
_space_group_symop_operation_xyz
'x,y,z'
loop_
_atom_site_label
_atom_site_type_symbol
_atom_site_fract_x
_atom_site_fract_y
_atom_site_fract_z
_atom_site_occupancy
In1 In 0.500 0.500 0.000 1
Sn1 Sn 0.500 0.000 0.000 1
Sn2 Sn 0.000 0.500 0.500 1
In2 In 0.000 0.000 0.500 1
```

***

Record 2
In13Sn2 | GGA-PBE | relaxed

Output
**N(E_F)**: 4.36 states/eV/f.u.
**Energy of formation from the pure elements**: 1.7 eV/f.u.
**Total magnetization**: 0.000 μB/atom

The structure in CIF format:
```
data_In13Sn2
_chemical_formula_sum 'In13 Sn2'
_space_group_name_H-M_alt 'P 1'
_space_group_IT_number 1
_cell_length_a 8.369
_cell_length_b 8.369
_cell_length_c 9.224
_cell_angle_alpha 63.02
_cell_angle_beta 63.02
_cell_angle_gamma 60.00
loop_
_space_group_symop_operation_xyz
'x,y,z'
loop_
_atom_site_label
_atom_site_type_symbol
_atom_site_fract_x
_atom_site_fract_y
_atom_site_fract_z
_atom_site_occupancy
In1 In 0.130 0.753 0.364 1
Sn1 Sn 0.361 0.361 0.917 1
In2 In 0.870 0.247 0.636 1
In3 In 0.610 0.008 0.772 1
In4 In 0.753 0.753 0.364 1
In5 In 0.008 0.610 0.772 1
In6 In 0.247 0.870 0.636 1
In7 In 0.247 0.247 0.636 1
In8 In 0.992 0.390 0.228 1
In9 In 0.500 0.500 0.500 1
In10 In 0.390 0.992 0.228 1
In11 In 0.610 0.610 0.772 1
In12 In 0.390 0.390 0.228 1
Sn2 Sn 0.639 0.639 0.083 1
In13 In 0.753 0.130 0.364 1
```

***

Record 3
InSn | GGA-PBE | relaxed

Output
**N(E_F)**: 1.25 states/eV/f.u.
**Energy of formation from the pure elements**: 0.2 eV/f.u.
**Total magnetization**: 0.000 μB/atom

The structure in CIF format:
```
data_InSn
_chemical_formula_sum 'In1 Sn1'
_space_group_name_H-M_alt 'P 1'
_space_group_IT_number 1
_cell_length_a 4.338
_cell_length_b 4.338
_cell_length_c 4.338
_cell_angle_alpha 60.00
_cell_angle_beta 60.00
_cell_angle_gamma 60.00
loop_
_space_group_symop_operation_xyz
'x,y,z'
loop_
_atom_site_label
_atom_site_type_symbol
_atom_site_fract_x
_atom_site_fract_y
_atom_site_fract_z
_atom_site_occupancy
Sn1 Sn 0.500 0.500 0.500 1
In1 In 0.000 0.000 0.000 1
```